No. 1
## TmBi2RhO6 (PBE-GGA)

Data for a geometry-optimized TmBi2RhO6 structure.

Unit cell a=5.5845 b=6.0209 c=9.7525 alpha=90.00 beta=123.75 gamma=90.00
Atoms (fractional coordinates):
Tm1 0.0000 0.0000 0.0000
Tm2 0.0000 0.5000 0.5000
Bi1 0.2498 0.0556 0.7358
Bi2 0.2498 0.4444 0.2358
Bi3 0.7502 0.5556 0.7642
Bi4 0.7502 0.9444 0.2642
Rh1 0.5000 0.0000 0.5000
Rh2 0.5000 0.5000 0.0000
O1 0.1402 0.0458 0.2617
O2 0.1402 0.4542 0.7617
O3 0.2170 0.6740 0.0377
O4 0.2170 0.8260 0.5377
O5 0.3813 0.2071 0.0656
O6 0.3813 0.2929 0.5656
O7 0.6187 0.7071 0.4344
O8 0.6187 0.7929 0.9344
O9 0.7830 0.1740 0.4623
O10 0.7830 0.3260 0.9623
O11 0.8598 0.5458 0.2383
O12 0.8598 0.9542 0.7383

Calculated values
- space-group type = P2_1/c (14)
- formation energy (no corrections) (meV per atom) = -1650
- theoretical density (Mg/m³) = 9.57
- magnetic moment (Bohr magnetons per cell) = 0.000
- calculated volume (A^3/atom) = 13.63
- final energy (eV per atom) = -6.58

***

No. 2
## Pm2BeAl (PBE-GGA)

Data for a geometry-optimized Pm2BeAl structure.

Unit cell a=3.5680 b=3.5680 c=7.3458 alpha=90.00 beta=90.00 gamma=90.00
Atoms (fractional coordinates):
Pm1 0.0000 0.0000 0.2313
Pm2 0.0000 0.0000 0.7687
Be1 0.5000 0.5000 0.0000
Al1 0.5000 0.5000 0.5000

Calculated values
- space-group type = P4/mmm (123)
- theoretical density (Mg/m³) = 5.79
- energy relative to the elements (kcal/mol of atoms) = -2.2
- magnetic moment (Bohr magnetons per cell) = 0.000
- calculated volume (A^3/atom) = 23.38
- final energy (eV per atom) = -4.34

***

No. 3
## Nd4HgRu (PBE-GGA)

Data for a geometry-optimized Nd4HgRu structure.

Unit cell a=8.2030 b=8.2030 c=6.3010 alpha=102.87 beta=102.87 gamma=113.83
Atoms (fractional coordinates):
Nd1 0.0661 0.7112 0.9319
Nd2 0.2079 0.3505 0.6518
Nd3 0.2888 0.9339 0.5681
Nd4 0.3505 0.2079 0.1518
Nd5 0.6495 0.7921 0.8482
Nd6 0.7112 0.0661 0.4319
Nd7 0.7921 0.6495 0.3482
Nd8 0.9339 0.2888 0.0681
Hg1 0.3764 0.6236 0.2500
Hg2 0.6236 0.3764 0.7500
Ru1 0.9995 0.0005 0.2500
Ru2 0.0005 0.9995 0.7500

Calculated values
- space-group type = C2/c (15)
- theoretical density (Mg/m³) = 8.24
- energy relative to the elements (kcal/mol of atoms) = -6.2
- magnetic moment (Bohr magnetons per cell) = 0.000
- calculated volume (A^3/atom) = 29.51
- final energy (eV per atom) = -5.04

***

No. 4
## Cs2TaGaSe4 (PBE-GGA)

Data for a geometry-optimized Cs2TaGaSe4 structure.

Unit cell a=14.5309 b=13.1597 c=8.0588 alpha=82.69 beta=63.93 gamma=33.37
Atoms (fractional coordinates):
Cs1 0.0550 0.0550 0.6950
Cs2 0.3050 0.3050 0.9450
Cs3 0.6950 0.6950 0.0550
Cs4 0.9450 0.9450 0.3050
Ta1 0.1250 0.1250 0.1250
Ta2 0.8750 0.8750 0.8750
Ga1 0.3750 0.3750 0.3750
Ga2 0.6250 0.6250 0.6250
Se1 0.0660 0.2900 0.3701
Se2 0.2261 0.6299 0.7100
Se3 0.2900 0.0660 0.7739
Se4 0.3701 0.7739 0.0660
Se5 0.6299 0.2261 0.9340
Se6 0.7100 0.9340 0.2261
Se7 0.7739 0.3701 0.2900
Se8 0.9340 0.7100 0.6299

Calculated values
- space-group type = Fddd (70)
- formation energy (no corrections) (meV per atom) = -959
- theoretical density (Mg/m³) = 4.15
- magnetic moment (Bohr magnetons per cell) = 0.000
- calculated volume (A^3/atom) = 41.61
- final energy (eV per atom) = -4.77